No. 1
Computed, not measured: crystalline TlRe3Se4Br2 at its relaxed geometry at the PBE level of DFT.

SG	P-1

a b c (Å): 6.6483 9.1474 9.3626
angles (deg): 85.18 82.47 70.81
With the nearest neighbours (Å) after each atom.
Atoms (fractional coordinates):
Br 0.0893 0.4197 0.2354  1 Re 2.60
Br 0.6994 0.7633 0.4210  1 Re 2.60
Br 0.3006 0.2367 0.5790  1 Re 2.60
Br 0.9107 0.5803 0.7646  1 Re 2.60
Re 0.2715 0.9243 0.0223  5 Se 2.53-2.65, 4 Re 2.62-2.64
Re 0.3302 0.1755 0.1000  4 Se 2.53-2.55, 1 Br 2.60, 4 Re 2.63-2.67
Re 0.5873 0.9011 0.1753  4 Se 2.53-2.54, 1 Br 2.60, 4 Re 2.62-2.67
Re 0.4127 0.0989 0.8247  4 Se 2.53-2.54, 1 Br 2.60, 4 Re 2.62-2.67
Re 0.6698 0.8245 0.9000  4 Se 2.53-2.55, 1 Br 2.60, 4 Re 2.63-2.67
Re 0.7285 0.0757 0.9777  5 Se 2.53-2.65, 4 Re 2.62-2.64
Se 0.9682 0.7937 0.0561  4 Re 2.54-2.65
Se 0.5272 0.6616 0.0950  3 Re 2.54
Se 0.6422 0.1489 0.2390  3 Re 2.53-2.54
Se 0.2001 0.9966 0.2850  3 Re 2.53-2.55
Se 0.7999 0.0034 0.7150  3 Re 2.53-2.55
Se 0.3578 0.8511 0.7610  3 Re 2.53-2.54
Se 0.4728 0.3384 0.9050  3 Re 2.54
Se 0.0318 0.2063 0.9439  4 Re 2.54-2.65
Tl 0.1984 0.6393 0.4685  3 Br 3.21-3.38, 1 Se 3.57
Tl 0.8016 0.3607 0.5315  3 Br 3.21-3.38, 1 Se 3.57

=====

No. 2
Computed, not measured: crystalline ReTe2Br4 at its relaxed geometry at the PBE level of DFT.

SG	I-4

a b c (Å): 10.8820 10.8820 10.8820
angles (deg): 116.10 96.89 116.10
With the nearest neighbours (Å) after each atom.
Atoms (fractional coordinates):
Br 0.8417 0.5560 0.0596  1 Te 2.61
Br 0.3656 0.6207 0.0756  1 Re 2.68, 1 Te 2.91
Br 0.2997 0.9096 0.1004  1 Re 2.68, 1 Te 2.91
Br 0.8001 0.9043 0.1388  1 Te 2.58
Br 0.7143 0.2179 0.1583  1 Te 2.61
Br 0.1042 0.3388 0.1999  1 Te 2.58
Br 0.5036 0.4440 0.2857  1 Te 2.61
Br 0.1908 0.0904 0.3901  1 Re 2.68, 1 Te 2.91
Br 0.9404 0.7821 0.4964  1 Te 2.61
Br 0.9244 0.2899 0.5450  1 Re 2.68, 1 Te 2.91
Br 0.2551 0.7101 0.6344  1 Re 2.68, 1 Te 2.91
Br 0.6099 0.8007 0.7003  1 Re 2.68, 1 Te 2.91
Br 0.4550 0.3793 0.7449  1 Re 2.68, 1 Te 2.91
Br 0.8612 0.6612 0.7655  1 Te 2.58
Br 0.8996 0.1993 0.8092  1 Re 2.68, 1 Te 2.91
Br 0.2345 0.0957 0.8958  1 Te 2.58
Re 0.4616 0.9162 0.3120  4 Te 2.63-2.77, 2 Br 2.68, 3 Re 2.79-2.85
Re 0.4546 0.8503 0.5384  4 Te 2.63-2.77, 2 Br 2.68, 3 Re 2.79-2.85
Re 0.3957 0.0838 0.5454  4 Te 2.63-2.77, 2 Br 2.68, 3 Re 2.79-2.85
Re 0.6880 0.1497 0.6043  4 Te 2.63-2.77, 2 Br 2.68, 3 Re 2.79-2.85
Te 0.5697 0.9183 0.0946  2 Br 2.58-2.61, 1 Re 2.77
Te 0.2150 0.7644 0.3451  3 Re 2.63-2.64
Te 0.6549 0.8699 0.4193  3 Re 2.63-2.64
Te 0.3486 0.5248 0.4303  2 Br 2.58-2.61, 1 Re 2.77
Te 0.5807 0.2356 0.4506  3 Re 2.63-2.64
Te 0.1763 0.0817 0.6514  2 Br 2.58-2.61, 1 Re 2.77
Te 0.5494 0.1301 0.7850  3 Re 2.63-2.64
Te 0.9054 0.4752 0.8237  2 Br 2.58-2.61, 1 Re 2.77

=====

No. 3
Computed, not measured: crystalline Re3Te7Br7 at its relaxed geometry at the PBE level of DFT.

SG	R-3

a b c (Å): 10.4935 10.4938 13.1944
angles (deg): 66.57 66.57 60.00
With the nearest neighbours (Å) after each atom.
Atoms (fractional coordinates):
Br 0.6376 0.6376 0.0871  3 Te 3.29
Br 0.4488 0.0377 0.3627  1 Te 2.59
Br 0.1507 0.4488 0.3627  1 Te 2.59
Br 0.0377 0.1507 0.3627  1 Te 2.59
Br 0.6302 0.2927 0.3774  1 Te 2.56
Br 0.6997 0.6302 0.3774  1 Te 2.56
Br 0.2927 0.6997 0.3775  1 Te 2.56
Br 0.7073 0.3003 0.6225  1 Te 2.56
Br 0.3003 0.3698 0.6226  1 Te 2.56
Br 0.3698 0.7073 0.6226  1 Te 2.56
Br 0.9623 0.8493 0.6373  1 Te 2.59
Br 0.8493 0.5512 0.6373  1 Te 2.59
Br 0.5512 0.9623 0.6373  1 Te 2.59
Br 0.3624 0.3624 0.9129  3 Te 3.29
Re 0.9422 0.1284 0.0951  5 Te 2.68-2.72, 4 Re 2.70-2.72
Re 0.8343 0.9422 0.0951  5 Te 2.68-2.72, 4 Re 2.70-2.72
Re 0.1284 0.8343 0.0951  5 Te 2.68-2.72, 4 Re 2.70-2.72
Re 0.8716 0.1657 0.9049  5 Te 2.68-2.72, 4 Re 2.70-2.72
Re 0.1657 0.0578 0.9049  5 Te 2.68-2.72, 4 Re 2.70-2.72
Re 0.0578 0.8716 0.9049  5 Te 2.68-2.72, 4 Re 2.70-2.72
Te 0.6477 0.2383 0.0937  3 Re 2.71-2.72
Te 0.2383 0.0203 0.0937  3 Re 2.71-2.72
Te 0.0203 0.6477 0.0938  3 Re 2.71-2.72
Te 0.8659 0.3151 0.2211  2 Br 2.56-2.59, 1 Re 2.68
Te 0.5979 0.8659 0.2211  2 Br 2.56-2.59, 1 Re 2.68
Te 0.3151 0.5979 0.2211  2 Br 2.56-2.59, 1 Re 2.68
Te 0.9055 0.9056 0.2834  3 Re 2.70
Te 0.0945 0.0944 0.7166  3 Re 2.70
Te 0.6849 0.4021 0.7789  2 Br 2.56-2.59, 1 Re 2.68
Te 0.4021 0.1341 0.7789  2 Br 2.56-2.59, 1 Re 2.68
Te 0.1341 0.6849 0.7789  2 Br 2.56-2.59, 1 Re 2.68
Te 0.9797 0.3523 0.9063  3 Re 2.71-2.72
Te 0.7617 0.9797 0.9063  3 Re 2.71-2.72
Te 0.3523 0.7617 0.9063  3 Re 2.71-2.72

=====

No. 4
Computed, not measured: crystalline ReTe3Br5 at its relaxed geometry at the PBE level of DFT.

SG	P2_1

a b c (Å): 11.5366 8.7968 12.6161
angles (deg): 90.00 105.86 90.00
With the nearest neighbours (Å) after each atom.
Atoms (fractional coordinates):
Br 0.2245 0.8794 0.0817  1 Re 2.64, 1 Te 2.92
Br 0.6647 0.0452 0.1040  1 Te 2.59
Br 0.9063 0.7550 0.1050  1 Te 2.68
Br 0.6132 0.5085 0.1434  1 Te 2.57
Br 0.0544 0.1423 0.2207  1 Re 2.65, 1 Te 2.91
Br 0.4651 0.8168 0.2986  1 Re 2.66, 1 Te 2.91
Br 0.9190 0.4315 0.3180  1 Re 2.66, 1 Te 2.92
Br 0.5048 0.2680 0.3554  1 Te 2.72
Br 0.8342 0.9086 0.3745  1 Te 2.61
Br 0.7068 0.5572 0.4924  1 Te 2.58
Br 0.2932 0.0572 0.5076  1 Te 2.58
Br 0.1658 0.4086 0.6255  1 Te 2.61
Br 0.4952 0.7680 0.6446  1 Te 2.72
Br 0.0810 0.9315 0.6820  1 Re 2.66, 1 Te 2.92
Br 0.5349 0.3168 0.7014  1 Re 2.66, 1 Te 2.91
Br 0.9456 0.6423 0.7793  1 Re 2.65, 1 Te 2.91
Br 0.3868 0.0085 0.8566  1 Te 2.57
Br 0.0937 0.2550 0.8950  1 Te 2.68
Br 0.3353 0.5452 0.8960  1 Te 2.59
Br 0.7755 0.3794 0.9183  1 Re 2.64, 1 Te 2.92
Re 0.2773 0.6385 0.2110  5 Te 2.62-2.75, 2 Br 2.64-2.66, 1 Re 2.82
Re 0.1350 0.4202 0.2805  5 Te 2.64-2.75, 2 Br 2.65-2.66, 1 Re 2.82
Re 0.8650 0.9202 0.7195  5 Te 2.64-2.75, 2 Br 2.65-2.66, 1 Re 2.82
Re 0.7227 0.1385 0.7890  5 Te 2.62-2.75, 2 Br 2.64-2.66, 1 Re 2.82
Te 0.4298 0.6853 0.0804  2 Br 2.57-2.59, 1 Re 2.75
Te 0.0659 0.5439 0.0827  2 Re 2.64-2.67, 1 Br 2.68
Te 0.3092 0.3467 0.1889  2 Re 2.62-2.66, 1 Br 2.72
Te 0.1378 0.7193 0.3450  2 Re 2.73-2.75, 1 Te 2.73
Te 0.3337 0.5348 0.4216  2 Re 2.69-2.71, 1 Te 2.73
Te 0.1107 0.2386 0.4496  2 Br 2.58-2.61, 1 Re 2.74
Te 0.8893 0.7386 0.5504  2 Br 2.58-2.61, 1 Re 2.74
Te 0.6663 0.0348 0.5784  2 Re 2.69-2.71, 1 Te 2.73
Te 0.8622 0.2193 0.6550  2 Re 2.73-2.75, 1 Te 2.73
Te 0.6908 0.8467 0.8111  2 Re 2.62-2.66, 1 Br 2.72
Te 0.9341 0.0439 0.9173  2 Re 2.64-2.67, 1 Br 2.68
Te 0.5702 0.1853 0.9196  2 Br 2.57-2.59, 1 Re 2.75

=====

No. 5
Computed, not measured: crystalline SmScS2Br2 at its relaxed geometry at the PBE level of DFT.

SG	Pmm2

a b c (Å): 3.9826 5.2699 9.0876
angles (deg): 90.00 90.00 90.00
With the nearest neighbours (Å) after each atom.
Atoms (fractional coordinates):
Br 0.0000 0.0000 0.3567  2 Sm 2.87
Br 0.5000 0.5000 0.6708  2 Sc 2.71
S 0.5000 0.5000 0.0567  2 Sc 2.60, 2 Sm 2.72
S 0.0000 0.0000 0.9137  2 Sc 2.66, 2 Sm 2.79
Sc 0.0000 0.5000 0.8730  4 S 2.60-2.66, 2 Br 2.71
Sm 0.5000 0.0000 0.1292  4 S 2.72-2.79, 2 Br 2.87

=====

No. 6
Computed, not measured: crystalline TbScS2Br2 at its relaxed geometry at the PBE level of DFT.

SG	Pmm2

a b c (Å): 3.9343 5.2497 8.9562
angles (deg): 90.00 90.00 90.00
With the nearest neighbours (Å) after each atom.
Atoms (fractional coordinates):
Br 0.5000 0.0000 0.3307  2 Sc 2.70
Br 0.0000 0.5000 0.6482  2 Tb 2.82
S 0.0000 0.5000 0.0876  2 Sc 2.65, 2 Tb 2.74
S 0.5000 0.0000 0.9347  2 Sc 2.60, 2 Tb 2.68
Sc 0.0000 0.0000 0.1244  4 S 2.60-2.65, 2 Br 2.70
Tb 0.5000 0.5000 0.8743  4 S 2.68-2.74, 2 Br 2.82

=====

No. 7
Computed, not measured: crystalline TmScS2Br2 at its relaxed geometry at the PBE level of DFT.

SG	Pmm2

a b c (Å): 3.8814 5.2087 8.8660
angles (deg): 90.00 90.00 90.00
With the nearest neighbours (Å) after each atom.
Atoms (fractional coordinates):
Br 0.0000 0.0000 0.3324  2 Sc 2.69
Br 0.5000 0.5000 0.6530  2 Tm 2.78
S 0.5000 0.5000 0.0870  2 Sc 2.62, 2 Tm 2.69
S 0.0000 0.0000 0.9280  2 Sc 2.60, 2 Tm 2.64
Sc 0.5000 0.0000 0.1227  4 S 2.60-2.62, 2 Br 2.69
Tm 0.0000 0.5000 0.8769  4 S 2.64-2.69, 2 Br 2.78

=====

No. 8
Computed, not measured: crystalline TeWSeS2Br at its relaxed geometry at the PBE level of DFT.

SG	P-1

a b c (Å): 6.3656 7.3607 8.3670
angles (deg): 97.71 112.25 102.33
With the nearest neighbours (Å) after each atom.
Atoms (fractional coordinates):
Br 0.6645 0.7461 0.4500  1 Se 2.89, 1 Te 2.94
Br 0.3355 0.2539 0.5500  1 Se 2.89, 1 Te 2.94
S 0.5928 0.2559 0.0589  1 Te 2.46, 2 W 2.51
S 0.0075 0.7861 0.1214  1 Se 2.29, 2 W 2.44
S 0.9925 0.2139 0.8786  1 Se 2.29, 2 W 2.44
S 0.4072 0.7441 0.9411  1 Te 2.46, 2 W 2.51
Se 0.1600 0.2785 0.1835  1 S 2.29
Se 0.8400 0.7215 0.8165  1 S 2.29
Te 0.6687 0.0825 0.2971  1 S 2.46
Te 0.3313 0.9175 0.7029  1 S 2.46
W 0.2223 0.0001 0.0001  4 S 2.44-2.51, 2 Se 2.58
W 0.7777 0.9999 0.9999  4 S 2.44-2.51, 2 Se 2.58

=====

No. 9
Computed, not measured: crystalline TeWSeS2Br at its relaxed geometry at the PBE level of DFT.

SG	P-1

a b c (Å): 6.4306 8.0801 8.3298
angles (deg): 105.20 105.49 113.30
With the nearest neighbours (Å) after each atom.
Atoms (fractional coordinates):
Br 0.9115 0.6495 0.2476  1 S 2.85, 1 Te 2.90
Br 0.0885 0.3505 0.7524  1 S 2.85, 1 Te 2.90
S 0.1726 0.2903 0.0803  1 Se 2.35, 2 W 2.44
S 0.5137 0.9045 0.1774  1 Te 2.48, 2 W 2.56
S 0.4863 0.0955 0.8226  1 Te 2.48, 2 W 2.56
S 0.8274 0.7097 0.9197  1 Se 2.35, 2 W 2.44
Se 0.1745 0.1461 0.2918  1 S 2.35, 2 W 2.57
Se 0.8255 0.8539 0.7082  1 S 2.35, 2 W 2.57
Te 0.7225 0.2657 0.2621  1 S 2.48
Te 0.2775 0.7343 0.7379  1 S 2.48
W 0.7769 0.0003 0.0005  4 S 2.44-2.56, 2 Se 2.57
W 0.2231 0.9997 0.9995  4 S 2.44-2.56, 2 Se 2.57

=====

Electronic total energy, respectively: -6.222, -3.962, -4.444, -3.608, -5.659, -5.668, -5.651, -5.287, -5.188 eV per atom.